YZr3 | PBE | optimized geometry

## Properties
Space group   Imm2 (44)
Formation energy from the elements   0.071 eV per atom
Theoretical density   6.00 g cm⁻³
V   100.4 Å³ per cell

Cell lengths 6.226, 6.226, 6.226 Å; angles 149.20, 64.54, 124.81 degrees
Atoms (fractional coordinates):
Y1 0.000 0.000 0.000
Zr1 0.419 0.665 0.754
Zr2 0.496 0.996 0.500
Zr3 0.911 0.665 0.246